No. 1
DFT (PBE-GGA) results for a relaxed structure of CuAgRu2.

The density of states at the Fermi level comes out at 0.78 states/eV/atom. As for the energy above the lowest structure with this stoichiometry: 0.139 eV per atom. The total DFT energy (no corrections) is -24.00 eV per formula unit. The calculated formation energy comes out at 375 meV per atom.

Cell lengths 4.633, 4.633, 4.899 Å; angles 81.61, 81.61, 34.10 degrees
Fractional coordinates of all 4 atoms:
Ag (0.502, 0.502, 0.473)
Cu (0.253, 0.253, 0.261)
Ru (0.000, 0.000, 0.971)
Ru (0.745, 0.745, 0.795)

***

No. 2
DFT (PBE-GGA) results for a relaxed structure of CuAgRu2.

The density of states at the Fermi level comes out at 1.32 states/eV/atom. As for the energy above the lowest structure with this stoichiometry: 0.307 eV per atom. The total DFT energy (no corrections) is -23.33 eV per formula unit. The calculated formation energy comes out at 543 meV per atom.

Cell lengths 5.049, 5.049, 5.049 Å; angles 137.41, 137.41, 61.80 degrees
Fractional coordinates of all 4 atoms:
Ag (0.250, 0.750, 0.500)
Cu (0.750, 0.250, 0.500)
Ru (0.000, 0.000, 0.000)
Ru (0.500, 0.500, 0.000)

***

No. 3
DFT (PBE-GGA) results for a relaxed structure of Cu2AgRu.

The density of states at the Fermi level comes out at 0.75 states/eV/atom. As for the energy above the lowest structure with this stoichiometry: 0.089 eV per atom. The total DFT energy (no corrections) is -18.99 eV per formula unit. The calculated formation energy comes out at 331 meV per atom.

Cell lengths 2.645, 2.645, 9.099 Å; angles 90.00, 90.00, 116.44 degrees
Fractional coordinates of all 4 atoms:
Ag (0.500, 0.500, 0.760)
Cu (0.000, 0.000, 0.015)
Cu (0.500, 0.500, 0.242)
Ru (0.000, 0.000, 0.483)